Here is a relaxed structure of CeSi4Pd4 from Alexandria via LeMat-Bulk. Energies are from PBE.

Structure (POSCAR):
```
CeSi4Pd4
1.0
6.0423 0.0000 0.0000
0.0000 6.0423 0.0000
0.0000 0.0000 8.2976
Pd Ce Si
8 2 8
direct
0.7335 0.0000 0.6216 Pd
0.5000 0.7665 0.1216 Pd
0.0000 0.2665 0.3784 Pd
0.2665 0.0000 0.6216 Pd
0.0000 0.7335 0.3784 Pd
0.7665 0.5000 0.8784 Pd
0.2335 0.5000 0.8784 Pd
0.5000 0.2335 0.1216 Pd
0.5000 0.5000 0.5000 Ce
0.0000 0.0000 0.0000 Ce
0.3005 0.0000 0.3255 Si
0.6995 0.0000 0.3255 Si
0.5000 0.1995 0.8255 Si
0.0000 0.3005 0.6745 Si
0.0000 0.6995 0.6745 Si
0.1995 0.5000 0.1745 Si
0.8005 0.5000 0.1745 Si
0.5000 0.8005 0.8255 Si
```

uncorrected formation energy	-0.635	eV/atom
total magnetization	1.09	μB per formula unit
D(E_F)	19.6	states/eV/cell